1.
This record from Alexandria via LeMat-Bulk describes a relaxed TlCoPb2 crystal. The functional is PBE.

Geometry as POSCAR:
```
TlCoPb2
1.0
4.781 0.000 0.000
0.000 4.781 0.000
0.000 0.000 4.424
Tl Co Pb
1 1 2
Direct
0.000 0.000 0.000
0.500 0.500 0.000
0.000 0.500 0.500
0.500 0.000 0.500
```

Calculated values
Calculated formation energy, eV/atom: 0.58
Mass density, g cm⁻³: 11.13
Total moment, Bohr magnetons per cell: 1.76
Volume, Å³/cell: 101.1
Symmetry: No. 123
Relative energy among the computed polymorphs, meV/atom: 334

***

2.
This record from Alexandria via LeMat-Bulk describes a relaxed TlCoPb2 crystal. The functional is PBE.

Geometry as POSCAR:
```
TlCoPb2
1.0
-2.983 2.983 7.467
2.983 -2.983 7.467
2.983 2.983 -7.467
Tl Co Pb
2 2 4
Direct
0.000 0.000 0.000
0.750 0.250 0.500
0.250 0.750 0.500
0.500 0.500 0.000
0.250 0.625 0.125
0.375 0.500 0.625
0.500 0.125 0.875
0.875 0.750 0.375
```

Calculated values
Calculated formation energy, eV/atom: 0.56
Mass density, g cm⁻³: 8.47
Total moment, Bohr magnetons per cell: 0.00
Volume, Å³/cell: 265.9
Symmetry: No. 122
Relative energy among the computed polymorphs, meV/atom: 314

***

3.
This record from Alexandria via LeMat-Bulk describes a relaxed Tl2CoPb crystal. The functional is PBE.

Geometry as POSCAR:
```
Tl2CoPb
1.0
-5.063 5.063 2.554
5.063 -5.063 2.554
5.063 5.063 -2.554
Tl Co Pb
4 2 2
Direct
0.000 0.000 0.000
0.000 0.000 0.500
0.000 0.500 0.000
0.500 0.000 0.500
0.125 0.875 0.250
0.875 0.125 0.750
0.375 0.625 0.750
0.625 0.375 0.250
```

Calculated values
Calculated formation energy, eV/atom: 0.35
Mass density, g cm⁻³: 8.56
Total moment, Bohr magnetons per cell: 2.00
Volume, Å³/cell: 261.9
Symmetry: No. 141
Relative energy among the computed polymorphs, meV/atom: 49

***

4.
This record from Alexandria via LeMat-Bulk describes a relaxed TlCoPb2 crystal. The functional is PBE.

Geometry as POSCAR:
```
TlCoPb2
1.0
0.000 3.687 3.687
3.687 0.000 3.687
3.687 3.687 0.000
Tl Co Pb
1 1 2
Direct
0.000 0.000 0.000
0.500 0.500 0.500
0.250 0.250 0.250
0.750 0.750 0.750
```

Calculated values
Calculated formation energy, eV/atom: 0.57
Mass density, g cm⁻³: 11.23
Total moment, Bohr magnetons per cell: 1.58
Volume, Å³/cell: 100.2
Symmetry: No. 225
Relative energy among the computed polymorphs, meV/atom: 330

***

5.
This record from Alexandria via LeMat-Bulk describes a relaxed Tl2CoPb crystal. The functional is PBE.

Geometry as POSCAR:
```
Tl2CoPb
1.0
5.400 0.000 0.000
0.000 3.511 0.000
-1.505 0.000 5.258
Tl Co Pb
2 1 1
Direct
0.000 0.000 0.000
0.500 0.500 0.000
0.000 0.500 0.500
0.500 0.000 0.500
```

Calculated values
Calculated formation energy, eV/atom: 0.60
Mass density, g cm⁻³: 11.24
Total moment, Bohr magnetons per cell: 1.80
Volume, Å³/cell: 99.7
Symmetry: No. 10
Relative energy among the computed polymorphs, meV/atom: 297

***

6.
This record from Alexandria via LeMat-Bulk describes a relaxed TlCoPb2 crystal. The functional is PBE.

Geometry as POSCAR:
```
TlCoPb2
1.0
5.250 0.000 0.000
0.000 5.250 0.000
0.000 0.000 3.651
Tl Co Pb
1 1 2
Direct
0.000 0.000 0.000
0.500 0.500 0.000
0.000 0.500 0.500
0.500 0.000 0.500
```

Calculated values
Calculated formation energy, eV/atom: 0.58
Mass density, g cm⁻³: 11.18
Total moment, Bohr magnetons per cell: 1.58
Volume, Å³/cell: 100.6
Symmetry: No. 123
Relative energy among the computed polymorphs, meV/atom: 336

***

> What is the total moment in the second record?

0.00 Bohr magnetons per cell

***

Please write out number 1 again, unchanged.
This record from Alexandria via LeMat-Bulk describes a relaxed TlCoPb2 crystal. The functional is PBE.

Geometry as POSCAR:
```
TlCoPb2
1.0
4.781 0.000 0.000
0.000 4.781 0.000
0.000 0.000 4.424
Tl Co Pb
1 1 2
Direct
0.000 0.000 0.000
0.500 0.500 0.000
0.000 0.500 0.500
0.500 0.000 0.500
```

Calculated values
Calculated formation energy, eV/atom: 0.58
Mass density, g cm⁻³: 11.13
Total moment, Bohr magnetons per cell: 1.76
Volume, Å³/cell: 101.1
Symmetry: No. 123
Relative energy among the computed polymorphs, meV/atom: 334